No. 1
# BaScTaP2 (PBE, relaxed)
# total magnetic moment	0.26	μB/atom
# N(E_F)	6.8	states/eV/f.u.
# energy relative to the elements	255	kJ/mol of formula units
# volume	136.51	Å³ per cell
data_BaScTaP2
_chemical_formula_sum 'Ba1 Sc1 Ta1 P2'
_cell_length_a 4.909
_cell_length_b 4.909
_cell_length_c 5.664
_cell_angle_alpha 90.00
_cell_angle_beta 90.00
_cell_angle_gamma 90.00
_space_group_name_H-M_alt 'P 1'
_space_group_IT_number 1
_space_group_name_Hall 'P 1'
loop_
_atom_site_label
_atom_site_fract_x
_atom_site_fract_y
_atom_site_fract_z
Ba1 0.000 0.000 0.000
Sc1 0.500 0.500 0.000
Ta1 0.000 0.000 0.500
P1 0.000 0.500 0.500
P2 0.500 0.000 0.500

---

No. 2
# BaP2Se (PBE, relaxed)
# total magnetic moment	0.00	μB/atom
# excess energy over the best structure of this formula in the dataset	0.5716	eV/atom
# formation energy from raw total energies	-0.064	eV/atom
# N(E_F)	2.1	states/eV/f.u.
# volume	105.53	Å³ per cell
data_BaP2Se
_chemical_formula_sum 'Ba1 P2 Se1'
_cell_length_a 6.303
_cell_length_b 6.276
_cell_length_c 4.393
_cell_angle_alpha 69.90
_cell_angle_beta 69.23
_cell_angle_gamma 40.88
_space_group_name_H-M_alt 'P 1'
_space_group_IT_number 1
_space_group_name_Hall 'P 1'
loop_
_atom_site_label
_atom_site_fract_x
_atom_site_fract_y
_atom_site_fract_z
Ba1 0.000 0.000 0.000
P1 0.000 0.500 0.500
P2 0.500 0.000 0.000
Se1 0.500 0.500 0.500

---

No. 3
# BaPSe (PBE, relaxed)
# total magnetic moment	0.00	μB/atom
# excess energy over the best structure of this formula in the dataset	0.1209	eV/atom
# formation energy from raw total energies	-0.690	eV/atom
# N(E_F)	1.4	states/eV/f.u.
# volume	212.86	Å³ per cell
data_BaPSe
_chemical_formula_sum 'Ba2 P2 Se2'
_cell_length_a 11.654
_cell_length_b 4.498
_cell_length_c 4.498
_cell_angle_alpha 64.53
_cell_angle_beta 90.00
_cell_angle_gamma 90.00
_space_group_name_H-M_alt 'P 1'
_space_group_IT_number 1
_space_group_name_Hall 'P 1'
loop_
_atom_site_label
_atom_site_fract_x
_atom_site_fract_y
_atom_site_fract_z
Ba1 0.164 0.000 0.000
Ba2 0.836 0.000 0.000
P1 0.000 0.351 0.351
P2 0.500 0.180 0.180
Se1 0.346 0.348 0.348
Se2 0.654 0.348 0.348

---

No. 4
# BaP2Se (PBE, relaxed)
# total magnetic moment	0.00	μB/atom
# excess energy over the best structure of this formula in the dataset	0.3602	eV/atom
# formation energy from raw total energies	-0.275	eV/atom
# N(E_F)	2.4	states/eV/f.u.
# volume	137.29	Å³ per cell
data_BaP2Se
_chemical_formula_sum 'Ba1 P2 Se1'
_cell_length_a 4.761
_cell_length_b 4.761
_cell_length_c 6.058
_cell_angle_alpha 90.00
_cell_angle_beta 90.00
_cell_angle_gamma 90.00
_space_group_name_H-M_alt 'P 1'
_space_group_IT_number 1
_space_group_name_Hall 'P 1'
loop_
_atom_site_label
_atom_site_fract_x
_atom_site_fract_y
_atom_site_fract_z
Ba1 0.000 0.000 0.000
P1 0.500 0.500 0.165
P2 0.500 0.500 0.835
Se1 0.000 0.000 0.500

---

No. 5
# BaP2Se (PBE, relaxed)
# total magnetic moment	0.00	μB/atom
# excess energy over the best structure of this formula in the dataset	0.4694	eV/atom
# formation energy from raw total energies	-0.166	eV/atom
# N(E_F)	2.0	states/eV/f.u.
# volume	97.00	Å³ per cell
data_BaP2Se
_chemical_formula_sum 'Ba1 P2 Se1'
_cell_length_a 5.672
_cell_length_b 5.672
_cell_length_c 5.672
_cell_angle_alpha 140.26
_cell_angle_beta 121.94
_cell_angle_gamma 72.66
_space_group_name_H-M_alt 'P 1'
_space_group_IT_number 1
_space_group_name_Hall 'P 1'
loop_
_atom_site_label
_atom_site_fract_x
_atom_site_fract_y
_atom_site_fract_z
Ba1 0.000 0.000 0.000
P1 0.298 0.798 0.500
P2 0.702 0.202 0.500
Se1 0.500 0.500 0.000

---

No. 6
# BaP2Se (PBE, relaxed)
# total magnetic moment	0.00	μB/atom
# excess energy over the best structure of this formula in the dataset	0.0090	eV/atom
# formation energy from raw total energies	-0.626	eV/atom
# N(E_F)	1.0	states/eV/f.u.
# volume	118.02	Å³ per cell
data_BaP2Se
_chemical_formula_sum 'Ba1 P2 Se1'
_cell_length_a 6.259
_cell_length_b 6.259
_cell_length_c 5.196
_cell_angle_alpha 111.82
_cell_angle_beta 111.82
_cell_angle_gamma 39.12
_space_group_name_H-M_alt 'P 1'
_space_group_IT_number 1
_space_group_name_Hall 'P 1'
loop_
_atom_site_label
_atom_site_fract_x
_atom_site_fract_y
_atom_site_fract_z
Ba1 0.000 0.000 0.000
P1 0.291 0.291 0.555
P2 0.709 0.709 0.445
Se1 0.500 0.500 0.500

---

No. 7
# BaP2Se (PBE, relaxed)
# total magnetic moment	0.00	μB/atom
# excess energy over the best structure of this formula in the dataset	0.5165	eV/atom
# formation energy from raw total energies	-0.119	eV/atom
# N(E_F)	0.8	states/eV/f.u.
# volume	223.51	Å³ per cell
data_BaP2Se
_chemical_formula_sum 'Ba2 P4 Se2'
_cell_length_a 6.622
_cell_length_b 6.622
_cell_length_c 6.622
_cell_angle_alpha 109.02
_cell_angle_beta 109.02
_cell_angle_gamma 110.37
_space_group_name_H-M_alt 'P 1'
_space_group_IT_number 1
_space_group_name_Hall 'P 1'
loop_
_atom_site_label
_atom_site_fract_x
_atom_site_fract_y
_atom_site_fract_z
Ba1 0.000 0.000 0.000
Ba2 0.750 0.250 0.500
P1 0.212 0.125 0.587
P2 0.375 0.788 0.913
P3 0.538 0.625 0.413
P4 0.875 0.462 0.087
Se1 0.250 0.750 0.500
Se2 0.500 0.500 0.000

---

No. 8
# BaP2Se (PBE, relaxed)
# total magnetic moment	0.00	μB/atom
# excess energy over the best structure of this formula in the dataset	0.0812	eV/atom
# formation energy from raw total energies	-0.554	eV/atom
# N(E_F)	1.3	states/eV/f.u.
# volume	116.45	Å³ per cell
data_BaP2Se
_chemical_formula_sum 'Ba1 P2 Se1'
_cell_length_a 4.643
_cell_length_b 5.026
_cell_length_c 4.998
_cell_angle_alpha 90.00
_cell_angle_beta 93.31
_cell_angle_gamma 90.00
_space_group_name_H-M_alt 'P 1'
_space_group_IT_number 1
_space_group_name_Hall 'P 1'
loop_
_atom_site_label
_atom_site_fract_x
_atom_site_fract_y
_atom_site_fract_z
Ba1 0.000 0.000 0.000
P1 0.398 0.500 0.816
P2 0.602 0.500 0.184
Se1 0.500 0.000 0.500